1.
An optimized crystal structure of GdTcMo. Source: OQMD via LeMat-Bulk, functional GGA-PBE.

Cell and atoms, written as POSCAR:
```
GdTcMo
1.0
6.3728 0.0000 0.0000
0.0000 6.3728 0.0000
0.0000 0.0000 6.3728
Gd Tc Mo
4 4 4
direct
0.0000 0.0000 0.0000 Gd
0.0000 0.5000 0.5000 Gd
0.5000 0.0000 0.5000 Gd
0.5000 0.5000 0.0000 Gd
0.2500 0.2500 0.2500 Tc
0.2500 0.7500 0.7500 Tc
0.7500 0.2500 0.7500 Tc
0.7500 0.7500 0.2500 Tc
0.2500 0.2500 0.7500 Mo
0.2500 0.7500 0.2500 Mo
0.7500 0.2500 0.2500 Mo
0.7500 0.7500 0.7500 Mo
```

Calculated values
Energy of formation in kJ/mol of atoms: 159.28


2.
An optimized crystal structure of Ta4Tl2CN. Source: OQMD via LeMat-Bulk, functional GGA-PBE.

Cell and atoms, written as POSCAR:
```
Ta4Tl2CN
1.0
3.2212 0.0000 0.0000
-1.6106 2.7897 0.0000
0.0000 0.0000 14.3028
Ta Tl C N
4 2 1 1
direct
0.3333 0.6667 0.0810 Ta
0.3333 0.6667 0.4213 Ta
0.6667 0.3333 0.5787 Ta
0.6667 0.3333 0.9190 Ta
0.3333 0.6667 0.7490 Tl
0.6667 0.3333 0.2510 Tl
0.0000 0.0000 0.0000 C
0.0000 0.0000 0.5000 N
```

Calculated values
VASP energy in eV per atom: -8.948


3.
An optimized crystal structure of Ho2Al5Ga. Source: OQMD via LeMat-Bulk, functional GGA-PBE.

Cell and atoms, written as POSCAR:
```
Ho2Al5Ga
1.0
4.5906 0.0000 0.0000
0.0000 6.2372 0.0000
0.0000 0.0000 10.8351
Ho Al Ga
4 10 2
direct
0.0000 0.0000 0.0000 Ho
0.0000 0.5000 0.5000 Ho
0.5000 0.0000 0.3346 Ho
0.5000 0.5000 0.8346 Ho
0.0000 0.0000 0.5190 Al
0.0000 0.2220 0.7403 Al
0.0000 0.2780 0.2403 Al
0.0000 0.5000 0.0190 Al
0.0000 0.7220 0.2403 Al
0.0000 0.7780 0.7403 Al
0.5000 0.2212 0.5947 Al
0.5000 0.2788 0.0947 Al
0.5000 0.7212 0.0947 Al
0.5000 0.7788 0.5947 Al
0.5000 0.0000 0.8160 Ga
0.5000 0.5000 0.3160 Ga
```

Calculated values
VASP energy in eV per atom: -4.303